Density functional theory data (PBE) for a geometry-optimized TaHg2Te structure.

The calculation puts the total energy at -3.366 eV/atom. The value obtained for the formation energy without anion corrections is 533.1 meV per atom. Its space group is I-42d, No. 122.

a = 9.5187 Å, b = 9.5187 Å, c = 7.2331 Å
α = 48.85°, β = 48.85°, γ = 90.00°
Closest atoms and distances in Å follow each position.
Sites, in units of the cell vectors:
Te 0.2500 0.7500 0.5000  2 Ta 2.65
Te 0.5000 0.5000 0.0000  2 Ta 2.65
Ta 0.7500 0.2500 0.5000  2 Te 2.65, 4 Hg 2.83
Ta 0.0000 0.0000 0.0000  2 Te 2.65, 4 Hg 2.83
Hg 0.3750 0.2693 0.7500  2 Ta 2.83
Hg 0.7307 0.1250 0.2500  2 Ta 2.83
Hg 0.8750 0.9807 0.7500  2 Ta 2.83
Hg 0.0193 0.6250 0.2500  2 Ta 2.83